1.
A relaxed structure of ZnIr2Cl. Source: Alexandria, functional GGA-PBE.

Output
Electronic total energy ... -19.05 eV per cell
Distance to the lowest polymorph of the same formula ... 304 meV/atom
Uncorrected formation energy ... 0.45 eV/atom

Lattice parameters (Å, degrees): 2.788 4.947 4.431 90.00 90.00 90.00
Fractional positions:
Cl  0.000  0.500  0.500
Ir  0.000  0.000  0.000
Ir  0.500  0.500  0.000
Zn  0.500  0.000  0.500

***

2.
A relaxed structure of ReIN. Source: Alexandria, functional GGA-PBE.

Output
Electronic total energy ... -42.53 eV per cell
Distance to the lowest polymorph of the same formula ... 202 meV/atom
Uncorrected formation energy ... 0.35 eV/atom

Lattice parameters (Å, degrees): 6.710 3.335 8.099 90.00 92.02 90.00
Fractional positions:
I  0.761  0.000  0.730
I  0.587  0.000  0.270
Re  0.080  0.000  0.558
Re  0.977  0.000  0.279
N  0.200  0.500  0.602
N  0.049  0.500  0.192

***

3.
A relaxed structure of Sm3Y4Sc2. Source: Alexandria, functional GGA-PBE.

Output
Electronic total energy ... -103.37 eV per cell
Calculated formation energy ... 0.110 eV per atom

Lattice parameters (Å, degrees): 6.695 11.427 11.427 51.73 59.30 59.30
Fractional positions:
Sm  0.929  0.102  0.203
Sm  0.571  0.797  0.898
Sm  0.071  0.898  0.797
Sm  0.429  0.203  0.102
Sm  0.250  0.506  0.494
Sm  0.750  0.494  0.506
Y  0.481  0.831  0.201
Y  0.019  0.799  0.169
Y  0.519  0.169  0.799
Y  0.981  0.201  0.831
Y  0.988  0.188  0.435
Y  0.512  0.565  0.812
Y  0.012  0.812  0.565
Y  0.488  0.435  0.188
Sc  0.463  0.118  0.547
Sc  0.037  0.453  0.882
Sc  0.537  0.882  0.453
Sc  0.963  0.547  0.118

***

4.
A relaxed structure of NaAcAgO4. Source: Alexandria, functional GGA-PBE.

Output
Electronic total energy ... -75.87 eV per cell
Uncorrected formation energy ... -1.40 eV/atom

Lattice parameters (Å, degrees): 6.361 4.526 8.643 90.00 110.01 90.00
Each line ends with the local moment (μB).
Fractional positions:
Na  0.485  0.750  0.882  0.00
Na  0.515  0.250  0.118  0.00
Ac  0.693  0.750  0.427  0.02
Ac  0.307  0.250  0.573  0.02
Ag  0.109  0.750  0.143  0.12
Ag  0.891  0.250  0.857  0.12
O  0.043  0.594  0.710  0.23
O  0.957  0.094  0.290  0.23
O  0.957  0.406  0.290  0.23
O  0.043  0.906  0.710  0.23
O  0.433  0.750  0.135  0.13
O  0.567  0.250  0.865  0.13
O  0.435  0.750  0.579  0.08
O  0.565  0.250  0.421  0.08

***

Q: Which formula does entry 3 have?
A: Sm3Y4Sc2

***

Q: Among the records above, which one has the highest electronic total energy?
A: ZnIr2Cl